# 1
NaS5F | PBE-GGA | optimized geometry

abc: 4.3045 5.5905 9.2791
angles: 98.63 94.90 112.25
Space group P1 (No. 1)
Asymmetric unit:
1 Na 0.0000 0.0000 0.0000 (multiplicity 1)
2 S 0.1077 0.1371 0.6579 (multiplicity 1)
3 S 0.2296 0.4728 0.7842 (multiplicity 1)
4 S 0.3762 0.7189 0.3457 (multiplicity 1)
5 S 0.6075 0.5696 0.1905 (multiplicity 1)
6 S 0.8960 0.4286 0.3166 (multiplicity 1)
7 F 0.4666 0.9362 0.9929 (multiplicity 1)

Properties
Crystal system: triclinic
Spin magnetization (μB per atom): 0.286
Total energy (eV per atom): -3.8920
ρ (kg/m3): 1664



# 2
Pm15Tm4Th | PBE-GGA | optimized geometry

abc: 5.1182 5.1182 25.5212
angles: 90.00 90.00 90.00
Space group P4/mmm (No. 123)
Asymmetric unit:
1 Pm 0.0000 0.0000 0.0000 (multiplicity 1)
2 Pm 0.0000 0.0000 0.2025 (multiplicity 2)
3 Pm 0.0000 0.0000 0.4006 (multiplicity 2)
4 Pm 0.0000 0.5000 0.0995 (multiplicity 4)
5 Pm 0.0000 0.5000 0.3003 (multiplicity 4)
6 Pm 0.0000 0.5000 0.5000 (multiplicity 2)
7 Tm 0.5000 0.5000 0.2009 (multiplicity 2)
8 Tm 0.5000 0.5000 0.4003 (multiplicity 2)
9 Th 0.5000 0.5000 0.0000 (multiplicity 1)

Properties
Crystal system: tetragonal
Spin magnetization (μB per atom): 0.000
Total energy (eV per atom): -4.8042
ρ (kg/m3): 7657